{"formula": "NiTeSe", "functional": "PBE-GGA", "state": "relaxed", "lattice": [[3.7069, -0.0309, -0.5038], [-1.8753, 3.2359, -0.0902], [-0.4927, 0.1641, 11.1335]], "species": ["Ni", "Ni", "Te", "Te", "Se", "Se"], "fractional_positions": [[0.5137, 0.1400, 0.6537], [0.8153, 0.3033, 0.1186], [0.0928, 0.4336, 0.5264], [0.5702, 0.6767, 0.2469], [0.9182, 0.8398, 0.7580], [0.0781, 0.9368, 0.0150]], "magnetic_moment_mub_per_atom": 0.0000, "final_energy_ev_per_atom": -4.367, "de_polymorph_mev_per_atom": 10.7, "e_form_raw_mev_per_atom": -231}